Lu2Ga3Ni meta-GGA SCAN PBEsol geometry; ρ = 9.75 g/cm³; ΔH_f (0 K) = -0.74 eV/atom; final energy = -30.055 eV/atom; density of states at the Fermi level = 2.46 states/eV/cell
1.0
4.236 0.000 0.000
2.118 4.935 0.003
2.118 0.369 5.034
Ga Ni Lu
3 1 2
direct
0.837 0.234 0.093 Ga
0.149 0.384 0.319 Ga
0.176 0.773 0.876 Ga
0.832 0.620 0.717 Ni
0.547 0.203 0.703 Lu
0.460 0.787 0.292 Lu